(1)
A relaxed GeAsPd crystal, computed with PBE-GGA.

The structure in CIF format:
```
data_GeAsPd
_chemical_formula_sum 'Ge1 As1 Pd1'
_cell_length_a 3.6091
_cell_length_b 3.6091
_cell_length_c 4.7940
_cell_angle_alpha 112.11
_cell_angle_beta 112.11
_cell_angle_gamma 90.00
_symmetry_space_group_name_H-M 'P 1'
_symmetry_Int_Tables_number 1
_symmetry_space_group_name_Hall 'P 1'
loop_
_atom_site_label
_atom_site_type_symbol
_atom_site_fract_x
_atom_site_fract_y
_atom_site_fract_z
As1 As 0.2862 0.2862 0.5724
Pd1 Pd 0.9495 0.9495 0.8990
Ge1 Ge 0.6143 0.6143 0.2286
```

## Properties
D(E_F): 0.463 states/eV/atom
polymorph energy (0 for the lowest one): 0.164 eV/atom
SG: I4mm
electronic total energy: -4.85 eV/atom
formation enthalpy at 0 K: -0.03 eV/atom

=====

(2)
A relaxed Li2GeSb2 crystal, computed with PBE-GGA.

The structure in CIF format:
```
data_Li2GeSb2
_chemical_formula_sum 'Li4 Ge2 Sb4'
_cell_length_a 8.1556
_cell_length_b 8.1556
_cell_length_c 3.1802
_cell_angle_alpha 90.00
_cell_angle_beta 90.00
_cell_angle_gamma 90.00
_symmetry_space_group_name_H-M 'P 1'
_symmetry_Int_Tables_number 1
_symmetry_space_group_name_Hall 'P 1'
loop_
_atom_site_label
_atom_site_type_symbol
_atom_site_fract_x
_atom_site_fract_y
_atom_site_fract_z
Ge1 Ge 0.0000 0.0000 0.0000
Ge2 Ge 0.5000 0.5000 0.0000
Sb1 Sb 0.6852 0.8148 0.5000
Sb2 Sb 0.1852 0.6852 0.5000
Sb3 Sb 0.8148 0.3148 0.5000
Sb4 Sb 0.3148 0.1852 0.5000
Li1 Li 0.6153 0.1153 0.0000
Li2 Li 0.3847 0.8847 0.0000
Li3 Li 0.1153 0.3847 0.0000
Li4 Li 0.8847 0.6153 0.0000
```

## Properties
D(E_F): 0.339 states/eV/atom
polymorph energy (0 for the lowest one): 0.076 eV/atom
formation energy from raw total energies: -143.4 meV per atom
SG: P4/mbm
electronic total energy: -3.48 eV/atom

=====

(3)
A relaxed Pm3Ho2Ga3 crystal, computed with PBE-GGA.

The structure in CIF format:
```
data_Pm3Ho2Ga3
_chemical_formula_sum 'Pm3 Ho2 Ga3'
_cell_length_a 3.6907
_cell_length_b 5.2399
_cell_length_c 11.3730
_cell_angle_alpha 103.32
_cell_angle_beta 99.34
_cell_angle_gamma 90.00
_symmetry_space_group_name_H-M 'P 1'
_symmetry_Int_Tables_number 1
_symmetry_space_group_name_Hall 'P 1'
loop_
_atom_site_label
_atom_site_type_symbol
_atom_site_fract_x
_atom_site_fract_y
_atom_site_fract_z
Ho1 Ho 0.2712 0.7712 0.5423
Ho2 Ho 0.7288 0.2288 0.4577
Ga1 Ga 0.8795 0.8795 0.7590
Ga2 Ga 0.0000 0.5000 0.0000
Ga3 Ga 0.1205 0.1205 0.2410
Pm1 Pm 0.3814 0.3814 0.7628
Pm2 Pm 0.5000 0.0000 0.0000
Pm3 Pm 0.6186 0.6186 0.2372
```

## Properties
D(E_F): 0.808 states/eV/atom
SG: Immm
electronic total energy: -4.49 eV/atom
formation enthalpy at 0 K: -0.43 eV/atom

=====

(4)
A relaxed TaMn2As crystal, computed with PBE-GGA.

The structure in CIF format:
```
data_TaMn2As
_chemical_formula_sum 'Ta1 Mn2 As1'
_cell_length_a 3.2709
_cell_length_b 3.2639
_cell_length_c 5.4396
_cell_angle_alpha 90.00
_cell_angle_beta 90.00
_cell_angle_gamma 90.00
_symmetry_space_group_name_H-M 'P 1'
_symmetry_Int_Tables_number 1
_symmetry_space_group_name_Hall 'P 1'
loop_
_atom_site_label
_atom_site_type_symbol
_atom_site_fract_x
_atom_site_fract_y
_atom_site_fract_z
Mn1 Mn 0.0000 0.0000 0.9969
Mn2 Mn 0.5000 0.5000 0.2445
As1 As 0.5000 0.5000 0.7741
Ta1 Ta 0.0000 0.0000 0.4845
```

## Properties
D(E_F): 0.679 states/eV/atom
SG: P4mm
electronic total energy: -8.72 eV/atom
formation enthalpy at 0 K: -0.01 eV/atom

=====

(5)
A relaxed TbSm6YHo2 crystal, computed with PBE-GGA.

The structure in CIF format:
```
data_TbSm6YHo2
_chemical_formula_sum 'Tb2 Sm12 Y2 Ho4'
_cell_length_a 9.6493
_cell_length_b 8.8862
_cell_length_c 8.8862
_cell_angle_alpha 117.99
_cell_angle_beta 93.98
_cell_angle_gamma 93.98
_symmetry_space_group_name_H-M 'P 1'
_symmetry_Int_Tables_number 1
_symmetry_space_group_name_Hall 'P 1'
loop_
_atom_site_label
_atom_site_type_symbol
_atom_site_fract_x
_atom_site_fract_y
_atom_site_fract_z
Sm1 Sm 0.9453 0.8816 0.2427
Sm2 Sm 0.3158 0.9840 0.4338
Sm3 Sm 0.6205 0.4928 0.7086
Sm4 Sm 0.1205 0.7086 0.4928
Sm5 Sm 0.3795 0.5072 0.2914
Sm6 Sm 0.4453 0.2427 0.8816
Sm7 Sm 0.8158 0.4338 0.9840
Sm8 Sm 0.6842 0.0160 0.5662
Sm9 Sm 0.0547 0.1184 0.7573
Sm10 Sm 0.8795 0.2914 0.5072
Sm11 Sm 0.1842 0.5662 0.0160
Sm12 Sm 0.5547 0.7573 0.1184
Ho1 Ho 0.9555 0.7003 0.8006
Ho2 Ho 0.4555 0.8006 0.7003
Ho3 Ho 0.5445 0.1994 0.2997
Ho4 Ho 0.0445 0.2997 0.1994
Tb1 Tb 0.7500 0.0261 0.9739
Tb2 Tb 0.2500 0.9739 0.0261
Y1 Y 0.7500 0.5910 0.4090
Y2 Y 0.2500 0.4090 0.5910
```

## Properties
D(E_F): 1.409 states/eV/atom
SG: C2/c
electronic total energy: -4.74 eV/atom
formation enthalpy at 0 K: 0.12 eV/atom

=====

(6)
A relaxed Rb2PdPtAu crystal, computed with PBE-GGA.

The structure in CIF format:
```
data_Rb2PdPtAu
_chemical_formula_sum 'Rb2 Pd1 Pt1 Au1'
_cell_length_a 6.4299
_cell_length_b 4.8200
_cell_length_c 6.4299
_cell_angle_alpha 90.00
_cell_angle_beta 90.00
_cell_angle_gamma 90.00
_symmetry_space_group_name_H-M 'P 1'
_symmetry_Int_Tables_number 1
_symmetry_space_group_name_Hall 'P 1'
loop_
_atom_site_label
_atom_site_type_symbol
_atom_site_fract_x
_atom_site_fract_y
_atom_site_fract_z
Rb1 Rb 0.5000 0.0000 0.0000
Rb2 Rb 0.0000 0.0000 0.5000
Pd1 Pd 0.0000 0.0000 0.0000
Pt1 Pt 0.0000 0.5000 0.0000
Au1 Au 0.5000 0.5000 0.5000
```

## Properties
D(E_F): 0.962 states/eV/atom
SG: P4/mmm
electronic total energy: -2.90 eV/atom
formation enthalpy at 0 K: 0.39 eV/atom

=====

(7)
A relaxed SbPtSe2N crystal, computed with PBE-GGA.

The structure in CIF format:
```
data_SbPtSe2N
_chemical_formula_sum 'Sb1 Pt1 Se2 N1'
_cell_length_a 5.3205
_cell_length_b 5.3205
_cell_length_c 3.7930
_cell_angle_alpha 90.00
_cell_angle_beta 90.00
_cell_angle_gamma 90.00
_symmetry_space_group_name_H-M 'P 1'
_symmetry_Int_Tables_number 1
_symmetry_space_group_name_Hall 'P 1'
loop_
_atom_site_label
_atom_site_type_symbol
_atom_site_fract_x
_atom_site_fract_y
_atom_site_fract_z
Sb1 Sb 0.0000 0.0000 0.0000
N1 N 0.0000 0.0000 0.5000
Se1 Se 0.5000 0.0000 0.0000
Se2 Se 0.0000 0.5000 0.0000
Pt1 Pt 0.5000 0.5000 0.5000
```

## Properties
D(E_F): 1.282 states/eV/atom
polymorph energy (0 for the lowest one): 0.771 eV/atom
formation energy from raw total energies: 1214.1 meV per atom
SG: P4/mmm
electronic total energy: -3.88 eV/atom

=====

(8)
A relaxed U2Ir3Rh3 crystal, computed with PBE-GGA.

The structure in CIF format:
```
data_U2Ir3Rh3
_chemical_formula_sum 'U2 Ir3 Rh3'
_cell_length_a 4.0387
_cell_length_b 4.0358
_cell_length_c 8.0664
_cell_angle_alpha 90.00
_cell_angle_beta 90.00
_cell_angle_gamma 90.00
_symmetry_space_group_name_H-M 'P 1'
_symmetry_Int_Tables_number 1
_symmetry_space_group_name_Hall 'P 1'
loop_
_atom_site_label
_atom_site_type_symbol
_atom_site_fract_x
_atom_site_fract_y
_atom_site_fract_z
Ir1 Ir 0.0000 0.5000 0.5000
Ir2 Ir 0.5000 0.0000 0.5000
Ir3 Ir 0.0000 0.5000 0.0000
U1 U 0.0000 0.0000 0.7513
U2 U 0.0000 0.0000 0.2487
Rh1 Rh 0.5000 0.5000 0.7492
Rh2 Rh 0.5000 0.5000 0.2508
Rh3 Rh 0.5000 0.0000 0.0000
```

## Properties
D(E_F): 1.256 states/eV/atom
SG: Pmmm
electronic total energy: -9.55 eV/atom
formation enthalpy at 0 K: -0.65 eV/atom

=====

(9)
A relaxed MgSi6 crystal, computed with PBE-GGA.

The structure in CIF format:
```
data_MgSi6
_chemical_formula_sum 'Mg1 Si6'
_cell_length_a 5.8099
_cell_length_b 5.8099
_cell_length_c 5.8099
_cell_angle_alpha 109.47
_cell_angle_beta 109.47
_cell_angle_gamma 109.47
_symmetry_space_group_name_H-M 'P 1'
_symmetry_Int_Tables_number 1
_symmetry_space_group_name_Hall 'P 1'
loop_
_atom_site_label
_atom_site_type_symbol
_atom_site_fract_x
_atom_site_fract_y
_atom_site_fract_z
Si1 Si 0.7500 0.5000 0.2500
Si2 Si 0.7500 0.2500 0.5000
Si3 Si 0.5000 0.2500 0.7500
Si4 Si 0.5000 0.7500 0.2500
Si5 Si 0.2500 0.7500 0.5000
Si6 Si 0.2500 0.5000 0.7500
Mg1 Mg 0.0000 0.0000 0.0000
```

## Properties
D(E_F): 0.149 states/eV/atom
formation energy from raw total energies: 238.9 meV per atom
SG: Im-3m
electronic total energy: -4.64 eV/atom

=====

(10)
A relaxed CaDy2Tl3 crystal, computed with PBE-GGA.

The structure in CIF format:
```
data_CaDy2Tl3
_chemical_formula_sum 'Ca1 Dy2 Tl3'
_cell_length_a 3.7906
_cell_length_b 3.7906
_cell_length_c 11.6784
_cell_angle_alpha 90.00
_cell_angle_beta 90.00
_cell_angle_gamma 90.00
_symmetry_space_group_name_H-M 'P 1'
_symmetry_Int_Tables_number 1
_symmetry_space_group_name_Hall 'P 1'
loop_
_atom_site_label
_atom_site_type_symbol
_atom_site_fract_x
_atom_site_fract_y
_atom_site_fract_z
Dy1 Dy 0.5000 0.5000 0.8338
Dy2 Dy 0.5000 0.5000 0.1662
Tl1 Tl 0.0000 0.0000 0.0000
Tl2 Tl 0.0000 0.0000 0.6715
Tl3 Tl 0.0000 0.0000 0.3285
Ca1 Ca 0.5000 0.5000 0.5000
```

## Properties
D(E_F): 0.571 states/eV/atom
SG: P4/mmm
electronic total energy: -3.42 eV/atom
formation enthalpy at 0 K: -0.37 eV/atom

=====

(11)
A relaxed YTc3Au crystal, computed with PBE-GGA.

The structure in CIF format:
```
data_YTc3Au
_chemical_formula_sum 'Y1 Tc3 Au1'
_cell_length_a 4.7875
_cell_length_b 4.7875
_cell_length_c 4.7875
_cell_angle_alpha 90.00
_cell_angle_beta 90.00
_cell_angle_gamma 90.00
_symmetry_space_group_name_H-M 'P 1'
_symmetry_Int_Tables_number 1
_symmetry_space_group_name_Hall 'P 1'
loop_
_atom_site_label
_atom_site_type_symbol
_atom_site_fract_x
_atom_site_fract_y
_atom_site_fract_z
Au1 Au 0.5000 0.5000 0.5000
Tc1 Tc 0.0000 0.5000 0.0000
Tc2 Tc 0.0000 0.0000 0.5000
Tc3 Tc 0.5000 0.0000 0.0000
Y1 Y 0.0000 0.0000 0.0000
```

## Properties
D(E_F): 1.254 states/eV/atom
polymorph energy (0 for the lowest one): 0.679 eV/atom
SG: Pm-3m
electronic total energy: -5.80 eV/atom
formation enthalpy at 0 K: 2.36 eV/atom

=====

(12)
A relaxed Cs8K3Au8 crystal, computed with PBE-GGA.

The structure in CIF format:
```
data_Cs8K3Au8
_chemical_formula_sum 'Cs8 K3 Au8'
_cell_length_a 7.2728
_cell_length_b 11.0603
_cell_length_c 14.2005
_cell_angle_alpha 108.78
_cell_angle_beta 104.84
_cell_angle_gamma 90.00
_symmetry_space_group_name_H-M 'P 1'
_symmetry_Int_Tables_number 1
_symmetry_space_group_name_Hall 'P 1'
loop_
_atom_site_label
_atom_site_type_symbol
_atom_site_fract_x
_atom_site_fract_y
_atom_site_fract_z
Au1 Au 0.0869 0.9703 0.1738
Au2 Au 0.5487 0.2572 0.0973
Au3 Au 0.4513 0.7428 0.9027
Au4 Au 0.3008 0.1437 0.6015
Au5 Au 0.6992 0.8563 0.3985
Au6 Au 0.1906 0.4980 0.3812
Au7 Au 0.9131 0.0297 0.8262
Au8 Au 0.8094 0.5020 0.6188
Cs1 Cs 0.5827 0.9611 0.1654
Cs2 Cs 0.9562 0.7404 0.9125
Cs3 Cs 0.6722 0.4925 0.3443
Cs4 Cs 0.1861 0.8197 0.3723
Cs5 Cs 0.8139 0.1803 0.6277
Cs6 Cs 0.4173 0.0389 0.8346
Cs7 Cs 0.0438 0.2596 0.0875
Cs8 Cs 0.3278 0.5075 0.6557
K1 K 0.5000 0.5000 0.0000
K2 K 0.1933 0.2073 0.3867
K3 K 0.8067 0.7927 0.6133
```

## Properties
D(E_F): 0.745 states/eV/atom
SG: C2/m
electronic total energy: -2.15 eV/atom
formation enthalpy at 0 K: -0.23 eV/atom

=====

Q: Among the records above, which one has the highest D(E_F)?
A: TbSm6YHo2